Entry 1:
Here is a relaxed structure of ZnFeReNi from OQMD via LeMat-Bulk. Energies are from PBE.

Structure (POSCAR):
```
ZnFeReNi
1.0
0.000 2.923 2.923
2.923 0.000 2.923
2.923 2.923 0.000
Zn Re Fe Ni
1 1 1 1
Cartesian
0.000 0.000 0.000 Zn
2.923 2.923 2.923 Re
4.385 4.385 4.385 Fe
1.462 1.462 1.462 Ni
```

Calculated values
E_tot, eV/atom: -6.732
Spin magnetization, μB per atom: 0.36
Relative energy among the computed polymorphs, meV/atom: 0
Space group: F-43m, No. 216

Entry 2:
Here is a relaxed structure of ZnFeReNi from OQMD via LeMat-Bulk. Energies are from PBE.

Structure (POSCAR):
```
ZnFeReNi
1.0
3.078 -2.750 0.460
-0.552 -3.356 2.384
-0.296 -3.759 -1.741
Fe Re Ni Zn
1 1 1 1
Cartesian
1.673 -7.398 0.827 Fe
0.558 -2.466 0.276 Re
1.115 -4.932 0.551 Ni
0.000 0.000 0.000 Zn
```

Calculated values
E_tot, eV/atom: -6.574
Spin magnetization, μB per atom: 0.35
Relative energy among the computed polymorphs, meV/atom: 158
Space group: F-43m, No. 216

Entry 3:
Here is a relaxed structure of FeNi3Se2S2 from OQMD via LeMat-Bulk. Energies are from PBE.

Structure (POSCAR):
```
FeNi3Se2S2
1.0
-1.644 0.002 -4.994
-4.932 -0.635 1.708
-0.603 5.223 0.200
Ni Fe S Se
3 1 2 2
Cartesian
-0.308 2.666 0.102 Ni
-3.059 4.823 1.051 Ni
-1.415 5.141 -2.300 Ni
-0.602 5.220 0.200 Fe
-4.616 3.483 0.281 S
-2.877 3.819 -3.264 S
-5.041 0.841 -2.393 Se
-1.838 1.150 -0.793 Se
```

Calculated values
E_tot, eV/atom: -5.411
Spin magnetization, μB per atom: 0.08
Space group: Cmm2, No. 35

Entry 4:
Here is a relaxed structure of FeNiSnS3 from OQMD via LeMat-Bulk. Energies are from PBE.

Structure (POSCAR):
```
FeNiSnS3
1.0
3.535 0.000 0.000
1.767 6.573 0.000
0.000 0.000 8.774
S Fe Sn Ni
6 2 2 2
Cartesian
1.767 5.635 6.580 S
3.535 4.835 0.457 S
1.767 1.738 8.317 S
3.535 4.835 3.930 S
1.767 1.738 4.844 S
3.535 0.938 2.193 S
0.000 0.000 0.000 Fe
0.000 0.000 4.387 Fe
3.535 3.146 6.580 Sn
1.767 3.427 2.193 Sn
1.767 0.342 6.580 Ni
3.535 6.231 2.193 Ni
```

Calculated values
E_tot, eV/atom: -5.286
Spin magnetization, μB per atom: 0.49
Relative energy among the computed polymorphs, meV/atom: 0
Space group: Cmcm, No. 63

Entry 5:
Here is a relaxed structure of FeNiSnS3 from OQMD via LeMat-Bulk. Energies are from PBE.

Structure (POSCAR):
```
FeNiSnS3
1.0
1.790 -6.707 0.000
1.790 6.707 0.000
0.000 0.000 8.584
Sn S Fe Ni
2 6 2 2
Cartesian
1.790 -3.501 6.438 Sn
1.790 3.501 2.146 Sn
1.790 1.767 4.765 S
1.790 -5.763 2.146 S
1.790 -1.767 0.473 S
1.790 1.767 8.111 S
1.790 -1.767 3.819 S
1.790 5.763 6.438 S
1.790 -0.338 2.146 Fe
1.790 0.338 6.438 Fe
0.000 0.000 4.292 Ni
0.000 0.000 0.000 Ni
```

Calculated values
E_tot, eV/atom: -5.259
Spin magnetization, μB per atom: 0.45
Relative energy among the computed polymorphs, meV/atom: 27
Space group: Cmcm, No. 63

Entry 6:
Here is a relaxed structure of SrFeNiS3 from OQMD via LeMat-Bulk. Energies are from PBE.

Structure (POSCAR):
```
SrFeNiS3
1.0
-5.268 -3.932 1.277
-3.783 -5.140 -2.027
5.329 -5.687 4.474
Sr S Ni Fe
2 6 2 2
Cartesian
-5.456 -8.225 0.556 Sr
1.733 -6.533 3.168 Sr
-0.956 -5.955 1.748 S
0.728 -2.028 1.069 S
-0.602 -11.114 3.794 S
-2.767 -8.804 1.976 S
-3.121 -3.644 -0.070 S
-4.450 -12.731 2.656 S
0.000 0.000 0.000 Ni
2.664 -2.843 2.237 Ni
-2.936 -5.699 0.765 Fe
-0.787 -9.059 2.959 Fe
```

Calculated values
E_tot, eV/atom: -5.432
Spin magnetization, μB per atom: 0.47
Relative energy among the computed polymorphs, meV/atom: 23
Space group: Cmcm, No. 63

Entry 7:
Here is a relaxed structure of SrFeNiS3 from OQMD via LeMat-Bulk. Energies are from PBE.

Structure (POSCAR):
```
SrFeNiS3
1.0
3.674 0.000 0.000
1.837 6.401 0.000
0.000 0.000 9.074
S Fe Sr Ni
6 2 2 2
Cartesian
1.837 5.581 6.805 S
3.674 4.755 4.103 S
1.837 1.646 8.640 S
3.674 4.755 0.433 S
3.674 0.820 2.268 S
1.837 1.646 4.970 S
0.000 0.000 0.000 Fe
0.000 0.000 4.537 Fe
1.837 3.216 2.268 Sr
3.674 3.186 6.805 Sr
3.674 6.014 2.268 Ni
1.837 0.388 6.805 Ni
```

Calculated values
E_tot, eV/atom: -5.455
Spin magnetization, μB per atom: 0.54
Relative energy among the computed polymorphs, meV/atom: 0
Space group: Cmcm, No. 63

Entry 8:
Here is a relaxed structure of TlFeNiS3 from OQMD via LeMat-Bulk. Energies are from PBE.

Structure (POSCAR):
```
TlFeNiS3
1.0
-1.681 0.982 7.141
1.032 -4.144 -6.045
8.834 -1.043 2.223
S Ni Tl Fe
6 2 2 2
Cartesian
0.691 0.413 6.904 S
7.494 -4.618 -3.586 S
8.446 -3.134 1.262 S
4.739 -2.696 0.329 S
3.446 -1.509 2.989 S
-0.262 -1.071 2.056 S
1.793 -1.671 1.544 Ni
6.391 -2.535 1.775 Ni
5.607 -1.052 5.589 Tl
2.578 -3.153 -2.270 Tl
0.000 0.000 0.000 Fe
4.417 -0.522 1.111 Fe
```

Calculated values
E_tot, eV/atom: -5.052
Spin magnetization, μB per atom: 0.35
Space group: Cmcm, No. 63

- Which of these has the highest E_tot?
  TlFeNiS3

- What is the spin magnetization in the fourth record?
  0.49 μB per atom

- Which of these has the highest E_tot?
  TlFeNiS3